[1]
Entry from Alexandria via LeMat-Bulk: AlZnIn2 after structural relaxation (GGA-PBEsol).

Unit cell a=3.096 b=4.134 c=6.350 alpha=90.00 beta=90.00 gamma=90.00
Space group Pmmm (No. 47)
Asymmetric unit:
Al  0.000  0.000  0.000 [1 per cell]
Zn  0.000  0.000  0.500 [1 per cell]
In  0.500  0.500  0.256 [2 per cell]

Output
Mass density   6.58 Mg/m³
Calculated formation energy   0.14 eV per atom
Total magnetization   0.00 Bohr magnetons per cell



[2]
Entry from Alexandria via LeMat-Bulk: HfAs2AuSe after structural relaxation (GGA-PBEsol).

Unit cell a=4.843 b=4.843 c=4.941 alpha=90.00 beta=90.00 gamma=90.00
Space group P4/mmm (No. 123)
Asymmetric unit:
Hf  0.000  0.000  0.000 [1 per cell]
As  0.000  0.500  0.500 [2 per cell]
Au  0.500  0.500  0.500 [1 per cell]
Se  0.500  0.500  0.000 [1 per cell]

Output
Formation energy (no corrections)   0.699 eV/atom
Mass density   8.66 Mg/m³
Total magnetization   0.00 Bohr magnetons per cell



[3]
Entry from Alexandria via LeMat-Bulk: LiScAu2 after structural relaxation (GGA-PBEsol).

Unit cell a=4.001 b=4.001 c=8.336 alpha=90.00 beta=90.00 gamma=90.00
Space group I-4m2 (No. 119)
Asymmetric unit:
Li  0.000  0.000  0.000 [2 per cell]
Sc  0.000  0.500  0.750 [2 per cell]
Au  0.000  0.000  0.500 [2 per cell]
Au  0.000  0.500  0.250 [2 per cell]

Output
Mass density   11.09 Mg/m³
Calculated formation energy   -0.65 eV per atom
Total magnetization   0.00 Bohr magnetons per cell



[4]
Entry from Alexandria via LeMat-Bulk: CaRhBr2 after structural relaxation (GGA-PBEsol).

Unit cell a=3.9662 b=3.9662 c=24.5255 alpha=90.00 beta=90.00 gamma=120.00
Space group R-3m (No. 166, hexagonal axes)
Asymmetric unit:
Ca  0.0000  0.0000  0.0000 [3 per cell]
Rh  0.0000  0.0000  0.5000 [3 per cell]
Br  0.0000  0.0000  0.1137 [6 per cell]

Output
Formation energy (no corrections)   -0.217 eV/atom
Mass density   4.51 Mg/m³
Total magnetization   4.80 Bohr magnetons per cell